# 1
Below is Ac2Nd2Ho5 after structural relaxation, with properties calculated at the PBE level.

Output
**Calculated formation energy**: 0.218 eV per atom
**DOS(E_F)**: 25.791 states/eV/cell
**V**: 36.74 Å³ per atom
**Size of the total moment**: 0.00 μB/f.u.

The structure in CIF format:
```
data_Ac2Nd2Ho5
_chemical_formula_sum 'Ac4 Nd4 Ho10'
_cell_length_a 22.0881
_cell_length_b 3.6237
_cell_length_c 8.3583
_cell_angle_alpha 90.00
_cell_angle_beta 98.65
_cell_angle_gamma 90.00
_space_group_name_H-M_alt 'C 1 2/m 1'
_space_group_IT_number 12
_space_group_name_Hall '-C 2y'
loop_
_atom_site_label
_atom_site_fract_x
_atom_site_fract_y
_atom_site_fract_z
Ac1 0.1823 0.0000 0.1349
Nd1 0.0474 0.5000 0.3505
Ho1 0.0000 0.0000 0.0000
Ho2 0.0938 0.0000 0.7219
Ho3 0.1904 0.5000 0.5294
```



# 2
Below is CoGePt after structural relaxation, with properties calculated at the PBE level.

Output
**Calculated formation energy**: -0.191 eV per atom
**DOS(E_F)**: 4.490 states/eV/cell
**V**: 14.26 Å³ per atom
**Size of the total moment**: 0.63 μB/f.u.

The structure in CIF format:
```
data_CoGePt
_chemical_formula_sum 'Co2 Ge2 Pt2'
_cell_length_a 4.0549
_cell_length_b 4.0549
_cell_length_c 6.0070
_cell_angle_alpha 90.00
_cell_angle_beta 90.00
_cell_angle_gamma 120.00
_space_group_name_H-M_alt 'P 3 m 1'
_space_group_IT_number 156
_space_group_name_Hall 'P 3 -2"'
loop_
_atom_site_label
_atom_site_fract_x
_atom_site_fract_y
_atom_site_fract_z
Co1 0.0000 0.0000 0.0000
Co2 0.3333 0.6667 0.7742
Ge1 0.0000 0.0000 0.6159
Ge2 0.6667 0.3333 0.0373
Pt1 0.3333 0.6667 0.2277
Pt2 0.6667 0.3333 0.4916
```



# 3
Below is CeMgAs2 after structural relaxation, with properties calculated at the PBE level.

Output
**Calculated formation energy**: -0.890 eV per atom
**DOS(E_F)**: 1.157 states/eV/cell
**V**: 24.29 Å³ per atom
**Size of the total moment**: 0.16 μB/f.u.

The structure in CIF format:
```
data_CeMgAs2
_chemical_formula_sum 'Ce3 Mg3 As6'
_cell_length_a 4.1394
_cell_length_b 4.1394
_cell_length_c 19.6454
_cell_angle_alpha 90.00
_cell_angle_beta 90.00
_cell_angle_gamma 120.00
_space_group_name_H-M_alt 'R 3 m'
_space_group_IT_number 160
_space_group_name_Hall 'R 3 -2"'
loop_
_atom_site_label
_atom_site_fract_x
_atom_site_fract_y
_atom_site_fract_z
Ce1 0.0000 0.0000 0.0000
Mg1 0.0000 0.0000 0.1735
As1 0.0000 0.0000 0.4197
As2 0.0000 0.0000 0.5823
```



# 4
Below is TmTh2Mg after structural relaxation, with properties calculated at the PBE level.

Output
**Calculated formation energy**: 0.073 eV per atom
**DOS(E_F)**: 4.619 states/eV/cell
**V**: 30.17 Å³ per atom
**Size of the total moment**: 0.00 μB/f.u.

The structure in CIF format:
```
data_TmTh2Mg
_chemical_formula_sum 'Tm1 Th2 Mg1'
_cell_length_a 3.4695
_cell_length_b 3.4695
_cell_length_c 10.0250
_cell_angle_alpha 90.00
_cell_angle_beta 90.00
_cell_angle_gamma 90.00
_space_group_name_H-M_alt 'P 4/m m m'
_space_group_IT_number 123
_space_group_name_Hall '-P 4 2'
loop_
_atom_site_label
_atom_site_fract_x
_atom_site_fract_y
_atom_site_fract_z
Tm1 0.0000 0.0000 0.0000
Th1 0.5000 0.5000 0.2562
Mg1 0.0000 0.0000 0.5000
```



# 5
Below is SmNi3Sn2 after structural relaxation, with properties calculated at the PBE level.

Output
**Calculated formation energy**: -0.344 eV per atom
**DOS(E_F)**: 14.055 states/eV/cell
**V**: 18.12 Å³ per atom
**Size of the total moment**: 0.00 μB/f.u.

The structure in CIF format:
```
data_SmNi3Sn2
_chemical_formula_sum 'Sm3 Ni9 Sn6'
_cell_length_a 9.6472
_cell_length_b 9.6472
_cell_length_c 4.0474
_cell_angle_alpha 90.00
_cell_angle_beta 90.00
_cell_angle_gamma 120.00
_space_group_name_H-M_alt 'P 6/m m m'
_space_group_IT_number 191
_space_group_name_Hall '-P 6 2'
loop_
_atom_site_label
_atom_site_fract_x
_atom_site_fract_y
_atom_site_fract_z
Sm1 0.0000 0.0000 0.0000
Sm2 0.3333 0.6667 0.5000
Ni1 0.0000 0.5000 0.0000
Ni2 0.1869 0.3739 0.0000
Sn1 0.0000 0.3227 0.5000
```



# 6
Below is Tm3Mn5H12 after structural relaxation, with properties calculated at the PBE level.

Output
**DOS(E_F)**: 41.105 states/eV/cell
**V**: 8.72 Å³ per atom
**Raw total energy**: -830.01 eV/cell
**Size of the total moment**: 10.05 μB/f.u.

The structure in CIF format:
```
data_Tm3Mn5H12
_chemical_formula_sum 'Tm24 Mn40 H96'
_cell_length_a 11.1756
_cell_length_b 11.1756
_cell_length_c 11.1756
_cell_angle_alpha 90.00
_cell_angle_beta 90.00
_cell_angle_gamma 90.00
_space_group_name_H-M_alt 'I a -3 d'
_space_group_IT_number 230
_space_group_name_Hall '-I 4bd 2c 3'
loop_
_atom_site_label
_atom_site_fract_x
_atom_site_fract_y
_atom_site_fract_z
Tm1 0.0000 0.2500 0.1250
Mn1 0.0000 0.0000 0.0000
Mn2 0.0000 0.2500 0.3750
H1 0.0262 0.0552 0.6386
```



# 7
Below is Th3Zn4Pt4 after structural relaxation, with properties calculated at the PBE level.

Output
**Calculated formation energy**: -0.901 eV per atom
**DOS(E_F)**: 13.036 states/eV/cell
**V**: 20.26 Å³ per atom
**Size of the total moment**: 0.00 μB/f.u.

The structure in CIF format:
```
data_Th3Zn4Pt4
_chemical_formula_sum 'Th6 Zn8 Pt8'
_cell_length_a 4.0586
_cell_length_b 7.6446
_cell_length_c 14.3651
_cell_angle_alpha 90.00
_cell_angle_beta 90.00
_cell_angle_gamma 90.00
_space_group_name_H-M_alt 'I m m m'
_space_group_IT_number 71
_space_group_name_Hall '-I 2 2'
loop_
_atom_site_label
_atom_site_fract_x
_atom_site_fract_y
_atom_site_fract_z
Th1 0.0000 0.0000 0.0000
Th2 0.0000 0.5000 0.1272
Zn1 0.0000 0.3029 0.3249
Pt1 0.0000 0.0000 0.2194
Pt2 0.0000 0.2007 0.5000
```



# 8
Below is Mn2Ga2Hg after structural relaxation, with properties calculated at the PBE level.

Output
**Calculated formation energy**: 0.106 eV per atom
**DOS(E_F)**: 3.428 states/eV/cell
**V**: 16.22 Å³ per atom
**Size of the total moment**: 6.43 μB/f.u.

The structure in CIF format:
```
data_Mn2Ga2Hg
_chemical_formula_sum 'Mn4 Ga4 Hg2'
_cell_length_a 7.4829
_cell_length_b 7.4829
_cell_length_c 2.8960
_cell_angle_alpha 90.00
_cell_angle_beta 90.00
_cell_angle_gamma 90.00
_space_group_name_H-M_alt 'P 4/m b m'
_space_group_IT_number 127
_space_group_name_Hall '-P 4 2ab'
loop_
_atom_site_label
_atom_site_fract_x
_atom_site_fract_y
_atom_site_fract_z
Mn1 0.1758 0.3242 0.0000
Ga1 0.1229 0.6229 0.5000
Hg1 0.0000 0.0000 0.5000
```



# 9
Below is Ni2SbW after structural relaxation, with properties calculated at the PBE level.

Output
**Uncorrected formation energy**: 1.28 eV per formula unit
**DOS(E_F)**: 8.093 states/eV/cell
**V**: 15.32 Å³ per atom
**Size of the total moment**: 0.00 μB/f.u.

The structure in CIF format:
```
data_Ni2SbW
_chemical_formula_sum 'Ni4 Sb2 W2'
_cell_length_a 8.4355
_cell_length_b 2.9325
_cell_length_c 5.0061
_cell_angle_alpha 90.00
_cell_angle_beta 98.14
_cell_angle_gamma 90.00
_space_group_name_H-M_alt 'C 1 2/m 1'
_space_group_IT_number 12
_space_group_name_Hall '-C 2y'
loop_
_atom_site_label
_atom_site_fract_x
_atom_site_fract_y
_atom_site_fract_z
Ni1 0.2427 0.0000 0.2093
Sb1 0.0000 0.0000 0.5000
W1 0.0000 0.5000 0.0000
```



# 10
Below is BaNdGa after structural relaxation, with properties calculated at the PBE level.

Output
**Calculated formation energy**: -0.242 eV per atom
**DOS(E_F)**: 5.337 states/eV/cell
**V**: 35.94 Å³ per atom
**Size of the total moment**: 0.00 μB/f.u.

The structure in CIF format:
```
data_BaNdGa
_chemical_formula_sum 'Ba2 Nd2 Ga2'
_cell_length_a 3.9434
_cell_length_b 3.9434
_cell_length_c 13.8661
_cell_angle_alpha 90.00
_cell_angle_beta 90.00
_cell_angle_gamma 90.00
_space_group_name_H-M_alt 'I 4 m m'
_space_group_IT_number 107
_space_group_name_Hall 'I 4 -2'
loop_
_atom_site_label
_atom_site_fract_x
_atom_site_fract_y
_atom_site_fract_z
Ba1 0.0000 0.0000 0.0000
Nd1 0.0000 0.0000 0.2620
Ga1 0.0000 0.0000 0.6645
```



# 11
Below is Na2HgPdF6 after structural relaxation, with properties calculated at the PBE level.

Output
**Uncorrected formation energy**: -18.85 eV per formula unit
**V**: 16.54 Å³ per atom
**Size of the total moment**: 0.12 μB/f.u.

The structure in CIF format:
```
data_Na2HgPdF6
_chemical_formula_sum 'Na2 Hg1 Pd1 F6'
_cell_length_a 5.4922
_cell_length_b 6.0233
_cell_length_c 6.0999
_cell_angle_alpha 64.97
_cell_angle_beta 67.17
_cell_angle_gamma 89.72
_space_group_name_H-M_alt 'P 1'
_space_group_IT_number 1
_space_group_name_Hall 'P 1'
loop_
_atom_site_label
_atom_site_fract_x
_atom_site_fract_y
_atom_site_fract_z
Na1 0.0000 0.0000 0.0000
Na2 0.4544 0.5042 0.0277
Hg1 0.6919 0.1164 0.5526
Pd1 0.1819 0.5952 0.5959
F1 0.1209 0.3735 0.4460
F2 0.2533 0.7993 0.7619
F3 0.3668 0.3402 0.7811
F4 0.6411 0.8892 0.9489
F5 0.7536 0.2824 0.1511
F6 0.9870 0.8344 0.4154
```